1.
Density functional theory data (PBE-GGA) for a geometry-optimized K2LiRu structure.

```
8
Lattice="5.3988 0.0000 0.0000 0.0000 5.3988 0.0000 0.0000 0.0000 7.6870" Properties=species:S:1:pos:R:3 pbc="T T T"
K 0.0000 0.0000 0.0000
K 0.0000 2.6994 1.9217
K 2.6994 0.0000 5.7652
K 2.6994 2.6994 3.8435
Li 0.0000 2.6994 5.7652
Li 2.6994 0.0000 1.9217
Ru 0.0000 0.0000 3.8435
Ru 2.6994 2.6994 0.0000
```

2.
Density functional theory data (PBE-GGA) for a geometry-optimized KLi2Ru structure.

```
4
Lattice="2.7313 0.0000 0.0000 0.0000 5.3524 0.0000 0.0000 0.0000 5.6411" Properties=species:S:1:pos:R:3 pbc="T T T"
K 0.0000 0.0000 0.0000
Li 0.0000 2.6762 2.8206
Li 1.3657 2.6762 0.0000
Ru 1.3657 0.0000 2.8206
```

3.
Density functional theory data (PBE-GGA) for a geometry-optimized K2LiRu structure.

```
8
Lattice="4.7592 0.0000 0.0000 0.0000 4.7592 0.0000 0.0000 0.0000 10.4177" Properties=species:S:1:pos:R:3 pbc="T T T"
K 0.0000 2.3796 2.6044
K 0.0000 2.3796 7.8133
K 2.3796 0.0000 2.6044
K 2.3796 0.0000 7.8133
Li 0.0000 0.0000 0.0000
Li 2.3796 2.3796 5.2089
Ru 0.0000 0.0000 5.2089
Ru 2.3796 2.3796 0.0000
```

no.,energy relative to the lowest polymorph listed for this composition (kJ/mol of atoms),total DFT energy (no corrections) (eV for the cell shown),calculated formation energy (eV/atom)
1,26.2,-18.790,0.997
2,31.2,-10.891,0.827
3,31.3,-18.367,1.050